Y2PuRh3 GGA-PBE relaxed; VASP energy = -0.6538 Ry per atom; calculated volume = 121.8 Å³/f.u.; ΔE_f = -0.676 eV per atom; N(E_F) = 2.03 states/eV/atom
1.0
-4.3110 -1.3296 1.7879
3.2283 -3.3769 -1.3127
4.5577 0.0661 11.0390
Rh Pu Y
6 2 4
Direct
0.3333 0.6667 0.4155
0.6667 0.3333 0.0847
0.0000 0.0000 0.7482
0.0000 0.0000 0.2518
0.6667 0.3333 0.5845
0.3333 0.6667 0.9153
0.6667 0.3333 0.3346
0.3333 0.6667 0.6654
0.6667 0.3333 0.8342
0.0000 0.0000 0.5000
0.0000 0.0000 0.0000
0.3333 0.6667 0.1658

Y2PuZn2Rh5 GGA-PBE relaxed; VASP energy = -0.5351 Ry per atom; calculated volume = 177.8 Å³/f.u.; ΔE_f = -0.624 eV per atom; N(E_F) = 1.41 states/eV/atom
1.0
3.7191 0.0000 0.0000
0.0000 9.7775 0.0000
0.0000 0.0000 9.7775
Pu Rh Y Zn
2 10 4 4
Direct
0.0000 0.0000 0.0000
0.0000 0.5000 0.5000
0.5000 0.7952 0.9303
0.5000 0.4303 0.2952
0.5000 0.5697 0.7048
0.5000 0.7048 0.4303
0.5000 0.2952 0.5697
0.5000 0.9303 0.2048
0.5000 0.0000 0.5000
0.5000 0.2048 0.0697
0.5000 0.0697 0.7952
0.5000 0.5000 0.0000
0.0000 0.6709 0.1709
0.0000 0.3291 0.8291
0.0000 0.8291 0.6709
0.0000 0.1709 0.3291
0.0000 0.6243 0.8757
0.0000 0.8757 0.3757
0.0000 0.3757 0.1243
0.0000 0.1243 0.6243

PuZn3Rh GGA-PBE relaxed; VASP energy = -0.3846 Ry per atom; calculated volume = 99.7 Å³/f.u.; ΔE_f = -0.131 eV per atom; N(E_F) = 2.95 states/eV/atom; energy above the lowest structure with this stoichiometry = 0.160 eV per atom
1.0
-3.3175 5.0683 1.9207
-6.2972 -0.8011 0.2933
-2.4406 -0.3843 5.8548
Zn Pu Rh
6 2 2
Direct
0.8741 0.4837 0.4847
0.3741 0.9847 0.9837
0.9837 0.3741 0.9847
0.9847 0.9837 0.3741
0.4847 0.8741 0.4837
0.4837 0.4847 0.8741
0.9267 0.9267 0.9267
0.4267 0.4267 0.4267
0.2492 0.2492 0.2492
0.7492 0.7492 0.7492

Pu2ZnRh3 GGA-PBE relaxed; VASP energy = -0.6630 Ry per atom; calculated volume = 115.8 Å³/f.u.; ΔE_f = -0.355 eV per atom; N(E_F) = 3.08 states/eV/atom; energy above the lowest structure with this stoichiometry = 0.000 eV per atom
1.0
4.6050 -0.1957 -1.7026
-0.5095 3.1911 -1.5146
-1.1029 0.0356 8.3490
Rh Zn Pu
3 1 2
Direct
0.1410 0.3728 0.3685
0.5000 0.0000 0.0000
0.8590 0.6272 0.6315
0.0000 0.0000 0.0000
0.5966 0.7973 0.3020
0.4034 0.2027 0.6980

PuZnRh4 GGA-PBE relaxed; VASP energy = -0.5706 Ry per atom; calculated volume = 100.8 Å³/f.u.; ΔE_f = -0.262 eV per atom; N(E_F) = 1.87 states/eV/atom
1.0
-0.2273 -4.9877 1.5376
4.2680 -2.3489 1.8866
0.3005 -1.1838 5.0795
Rh Pu Zn
4 1 1
Direct
0.6257 0.6257 0.1228
0.6257 0.1228 0.6257
0.6257 0.6257 0.6257
0.1228 0.6257 0.6257
0.2500 0.2500 0.2500
0.0000 0.0000 0.0000

Pu12ZnRh6 GGA-PBE relaxed; VASP energy = -0.8579 Ry per atom; calculated volume = 382.6 Å³/f.u.; ΔE_f = -0.232 eV per atom; N(E_F) = 3.10 states/eV/atom
1.0
-1.2458 -2.3395 6.7817
-4.8917 -4.4633 -3.0279
5.6134 -4.5024 -1.1115
Pu Rh Zn
12 6 1
Direct
0.1555 0.3995 0.0842
0.9158 0.8445 0.6005
0.4673 0.5929 0.1765
0.1765 0.4673 0.5929
0.8235 0.5327 0.4071
0.5327 0.4071 0.8235
0.8445 0.6005 0.9158
0.6005 0.9158 0.8445
0.3995 0.0842 0.1555
0.5929 0.1765 0.4673
0.4071 0.8235 0.5327
0.0842 0.1555 0.3995
0.8898 0.2293 0.7431
0.2293 0.7431 0.8898
0.2569 0.1102 0.7707
0.7707 0.2569 0.1102
0.1102 0.7707 0.2569
0.7431 0.8898 0.2293
0.0000 0.0000 0.0000